Material: NdNbAlIr2
Method: DFT, GGA-PBE
State: optimized geometry

Properties
Energy of formation from the pure elements   -0.7230 eV per atom
Total magnetization   0.000 μB per atom

```
data_NdNbAlIr2
_symmetry_space_group_name_H-M 'I -4 m 2'
_symmetry_Int_Tables_number 119
_symmetry_space_group_name_Hall 'I -4 -2'
_cell_length_a 4.194
_cell_length_b 4.194
_cell_length_c 11.295
_cell_angle_alpha 90.00
_cell_angle_beta 90.00
_cell_angle_gamma 90.00
loop_
_atom_site_label
_atom_site_type_symbol
_atom_site_fract_x
_atom_site_fract_y
_atom_site_fract_z
Nd1 Nd 0.000 0.000 0.000
Nb1 Nb 0.000 0.500 0.750
Al1 Al 0.000 0.500 0.250
Ir1 Ir 0.000 0.000 0.386
```

***

Material: LaRe3Pb
Method: DFT, GGA-PBE
State: optimized geometry

Properties
Energy of formation from the pure elements   2.3130 eV per atom
Total magnetization   0.535 μB per atom

```
data_LaRe3Pb
_symmetry_space_group_name_H-M 'P m -3 m'
_symmetry_Int_Tables_number 221
_symmetry_space_group_name_Hall '-P 4 2 3'
_cell_length_a 5.030
_cell_length_b 5.030
_cell_length_c 5.030
_cell_angle_alpha 90.00
_cell_angle_beta 90.00
_cell_angle_gamma 90.00
loop_
_atom_site_label
_atom_site_type_symbol
_atom_site_fract_x
_atom_site_fract_y
_atom_site_fract_z
La1 La 0.000 0.000 0.000
Re1 Re 0.000 0.500 0.500
Pb1 Pb 0.500 0.500 0.500
```

***

Material: KCu4S2Br
Method: DFT, GGA-PBE
State: optimized geometry

Properties
Total energy   -3.816 eV per atom
Total magnetization   0.000 μB per atom

```
data_KCu4S2Br
_symmetry_space_group_name_H-M 'P 4/m m m'
_symmetry_Int_Tables_number 123
_symmetry_space_group_name_Hall '-P 4 2'
_cell_length_a 3.992
_cell_length_b 3.992
_cell_length_c 10.148
_cell_angle_alpha 90.00
_cell_angle_beta 90.00
_cell_angle_gamma 90.00
loop_
_atom_site_label
_atom_site_type_symbol
_atom_site_fract_x
_atom_site_fract_y
_atom_site_fract_z
K1 K 0.000 0.000 0.000
Cu1 Cu 0.000 0.500 0.294
S1 S 0.500 0.500 0.195
Br1 Br 0.000 0.000 0.500
```

***

Material: CrCuSi2
Method: DFT, GGA-PBE
State: optimized geometry

Properties
Total energy   -6.130 eV per atom
Total magnetization   0.202 μB per atom

```
data_CrCuSi2
_symmetry_space_group_name_H-M 'R -3 m'
_symmetry_Int_Tables_number 166
_symmetry_space_group_name_Hall '-R 3 2"'
_cell_length_a 2.7035
_cell_length_b 2.7035
_cell_length_c 23.7388
_cell_angle_alpha 90.00
_cell_angle_beta 90.00
_cell_angle_gamma 120.00
loop_
_atom_site_label
_atom_site_type_symbol
_atom_site_fract_x
_atom_site_fract_y
_atom_site_fract_z
Cr1 Cr 0.0000 0.0000 0.0000
Cu1 Cu 0.0000 0.0000 0.5000
Si1 Si 0.0000 0.0000 0.2519
```

***

Material: RbSbOF2
Method: DFT, GGA-PBE
State: optimized geometry

Properties
Total energy   -3.122 eV per atom
Total magnetization   0.000 μB per atom

```
data_RbSbOF2
_symmetry_space_group_name_H-M 'P 4/m m m'
_symmetry_Int_Tables_number 123
_symmetry_space_group_name_Hall '-P 4 2'
_cell_length_a 4.853
_cell_length_b 4.853
_cell_length_c 4.370
_cell_angle_alpha 90.00
_cell_angle_beta 90.00
_cell_angle_gamma 90.00
loop_
_atom_site_label
_atom_site_type_symbol
_atom_site_fract_x
_atom_site_fract_y
_atom_site_fract_z
Rb1 Rb 0.000 0.000 0.000
Sb1 Sb 0.500 0.500 0.500
O1 O 0.000 0.000 0.500
F1 F 0.000 0.500 0.000
```

***

Material: TlZnOs
Method: DFT, GGA-PBE
State: optimized geometry

Properties
Energy of formation from the pure elements   0.7354 eV per atom
Total magnetization   0.000 μB per atom

```
data_TlZnOs
_symmetry_space_group_name_H-M 'P -6 m 2'
_symmetry_Int_Tables_number 187
_symmetry_space_group_name_Hall 'P -6 2'
_cell_length_a 4.4160
_cell_length_b 4.4160
_cell_length_c 3.1513
_cell_angle_alpha 90.00
_cell_angle_beta 90.00
_cell_angle_gamma 120.00
loop_
_atom_site_label
_atom_site_type_symbol
_atom_site_fract_x
_atom_site_fract_y
_atom_site_fract_z
Tl1 Tl 0.0000 0.0000 0.0000
Zn1 Zn 0.6667 0.3333 0.5000
Os1 Os 0.3333 0.6667 0.5000
```